Al2TcIO: optimized geometry, GGA-PBE.

POSCAR file:
```
Al2TcIO
1.0
4.101 0.000 0.000
0.000 4.101 0.000
0.000 0.000 4.804
Al Tc I O
2 1 1 1
direct
0.000 0.500 0.000 Al
0.500 0.000 0.000 Al
0.000 0.000 0.500 Tc
0.500 0.500 0.500 I
0.000 0.000 0.000 O
```

Output
Space group: No. 123
Energy relative to the elements, uncorrected: 0.2799 eV/atom
Crystal system: tetragonal

---

MgReN2: optimized geometry, GGA-PBE.

POSCAR file:
```
MgReN2
1.0
5.852 0.000 0.000
0.000 6.435 0.000
0.000 0.000 5.482
Mg Re N
4 4 8
direct
0.075 0.124 0.000 Mg
0.425 0.624 0.500 Mg
0.575 0.376 0.000 Mg
0.925 0.876 0.500 Mg
0.061 0.618 0.993 Re
0.439 0.118 0.493 Re
0.561 0.882 0.993 Re
0.939 0.382 0.493 Re
0.099 0.620 0.344 N
0.121 0.138 0.387 N
0.379 0.638 0.887 N
0.401 0.120 0.844 N
0.599 0.880 0.344 N
0.621 0.362 0.387 N
0.879 0.862 0.887 N
0.901 0.380 0.844 N
```

Output
Space group: No. 33
Energy relative to the elements, uncorrected: -0.1549 eV/atom
Crystal system: orthorhombic

---

CrSiAs: optimized geometry, GGA-PBE.

POSCAR file:
```
CrSiAs
1.0
6.050 0.000 0.000
0.000 6.050 0.000
0.000 0.000 6.050
Cr Si As
4 4 4
direct
0.000 0.000 0.000 Cr
0.000 0.500 0.500 Cr
0.500 0.000 0.500 Cr
0.500 0.500 0.000 Cr
0.250 0.250 0.250 Si
0.250 0.750 0.750 Si
0.750 0.250 0.750 Si
0.750 0.750 0.250 Si
0.000 0.000 0.500 As
0.000 0.500 0.000 As
0.500 0.000 0.000 As
0.500 0.500 0.500 As
```

Output
Space group: No. 216
Energy relative to the elements, uncorrected: 0.5159 eV/atom
Crystal system: cubic

---

TiTcBi2: optimized geometry, GGA-PBE.

POSCAR file:
```
TiTcBi2
1.0
4.391 0.000 0.000
0.000 4.391 0.000
0.000 0.000 19.552
Ti Tc Bi
4 4 8
direct
0.000 0.000 0.000 Ti
0.000 0.500 0.250 Ti
0.500 0.000 0.750 Ti
0.500 0.500 0.500 Ti
0.000 0.000 0.500 Tc
0.000 0.500 0.750 Tc
0.500 0.000 0.250 Tc
0.500 0.500 0.000 Tc
0.245 0.250 0.625 Bi
0.250 0.745 0.875 Bi
0.250 0.755 0.375 Bi
0.255 0.250 0.125 Bi
0.745 0.750 0.125 Bi
0.750 0.245 0.375 Bi
0.750 0.255 0.875 Bi
0.755 0.750 0.625 Bi
```

Output
Excess energy over the best structure of this formula in the dataset: 0.333 eV/atom
Space group: No. 122
Formation enthalpy at 0 K: 0.662 eV/atom
Crystal system: tetragonal

---

NbAuSe2N: optimized geometry, GGA-PBE.

POSCAR file:
```
NbAuSe2N
1.0
4.907 0.000 0.000
0.000 4.907 0.000
0.000 0.000 5.246
Nb Au Se N
1 1 2 1
direct
0.000 0.000 0.000 Nb
0.000 0.000 0.500 Au
0.000 0.500 0.500 Se
0.500 0.000 0.500 Se
0.500 0.500 0.000 N
```

Output
Excess energy over the best structure of this formula in the dataset: 1.974 eV/atom
Space group: No. 123
Energy relative to the elements, uncorrected: 2.2369 eV/atom
Crystal system: tetragonal

---

Hf3AlSi: optimized geometry, GGA-PBE.

POSCAR file:
```
Hf3AlSi
1.0
8.325 0.000 0.000
0.000 5.311 0.000
-5.199 0.000 8.817
Hf Al Si
12 4 4
direct
0.003 0.069 0.345 Hf
0.003 0.431 0.845 Hf
0.332 0.126 0.948 Hf
0.332 0.374 0.448 Hf
0.389 0.610 0.164 Hf
0.389 0.890 0.664 Hf
0.611 0.110 0.336 Hf
0.611 0.390 0.836 Hf
0.668 0.626 0.552 Hf
0.668 0.874 0.052 Hf
0.997 0.569 0.155 Hf
0.997 0.931 0.655 Hf
0.171 0.119 0.138 Al
0.171 0.381 0.638 Al
0.829 0.619 0.362 Al
0.829 0.881 0.862 Al
0.328 0.641 0.872 Si
0.328 0.859 0.372 Si
0.672 0.141 0.628 Si
0.672 0.359 0.128 Si
```

Output
Excess energy over the best structure of this formula in the dataset: 0.000 eV/atom
Space group: No. 14
Energy relative to the elements, uncorrected: -0.3569 eV/atom
Crystal system: monoclinic

---

Nd7HgI12: optimized geometry, GGA-PBE.

POSCAR file:
```
Nd7HgI12
1.0
8.149 4.705 3.554
-8.149 4.705 3.554
0.000 -9.409 3.554
Nd Hg I
7 1 12
direct
0.000 0.000 0.000 Nd
0.168 0.454 0.383 Nd
0.383 0.168 0.454 Nd
0.454 0.383 0.168 Nd
0.546 0.617 0.832 Nd
0.617 0.832 0.546 Nd
0.832 0.546 0.617 Nd
0.500 0.500 0.500 Hg
0.022 0.103 0.344 I
0.103 0.344 0.022 I
0.192 0.577 0.729 I
0.271 0.808 0.423 I
0.344 0.022 0.103 I
0.423 0.271 0.808 I
0.577 0.729 0.192 I
0.656 0.978 0.897 I
0.729 0.192 0.577 I
0.808 0.423 0.271 I
0.897 0.656 0.978 I
0.978 0.897 0.656 I
```

Output
Space group: No. 148
Energy relative to the elements, uncorrected: -1.2137 eV/atom
Crystal system: trigonal

---

DyMgZrAl: optimized geometry, GGA-PBE.

POSCAR file:
```
DyMgZrAl
1.0
7.096 0.000 0.000
0.000 7.096 0.000
0.000 0.000 7.096
Dy Mg Zr Al
4 4 4 4
direct
0.000 0.000 0.000 Dy
0.000 0.500 0.500 Dy
0.500 0.000 0.500 Dy
0.500 0.500 0.000 Dy
0.250 0.250 0.250 Mg
0.250 0.750 0.750 Mg
0.750 0.250 0.750 Mg
0.750 0.750 0.250 Mg
0.000 0.000 0.500 Zr
0.000 0.500 0.000 Zr
0.500 0.000 0.000 Zr
0.500 0.500 0.500 Zr
0.250 0.250 0.750 Al
0.250 0.750 0.250 Al
0.750 0.250 0.250 Al
0.750 0.750 0.750 Al
```

Output
Space group: No. 216
Formation enthalpy at 0 K: -0.183 eV/atom
Crystal system: cubic

---

Record-wise energy values, in eV/cell: -22.96 -125.25 -72.59 -93.50 -17.46 -163.24 -76.55 -76.88
Record-wise calculated volume values, in Å³/f.u.: 80.8 51.6 55.3 94.2 126.3 97.5 817.5 89.3